1.
Computed, not measured: crystalline PmHo5 at its relaxed geometry at the GGA-PBE level of DFT.

Space-group type: Amm2 (38)
Crystal system: orthorhombic
Total magnetization, μB/cell: 0.0
Energy relative to the lowest polymorph listed for this composition, eV/atom: 0.105
Energy, eV per cell: -26.887
E_form, eV/atom: 0.1254

Lattice parameters (Å, degrees): 3.4791 6.0858 9.5583 90.00 90.00 106.61
With the nearest neighbours (Å) after each atom.
Positions (direct):
Pm 0.7859 0.5718 0.8888  2 Pm 3.48, 10 Ho 3.59-3.65
Ho 0.0615 0.1229 0.0695  8 Ho 3.39-3.55, 3 Pm 3.59-3.65
Ho 0.6044 0.2088 0.3890  12 Ho 3.48-3.65
Ho 0.3268 0.6535 0.5641  9 Ho 3.35-3.65, 2 Pm 3.59
Ho 0.3272 0.6544 0.2135  9 Ho 3.35-3.64, 2 Pm 3.59
Ho 0.0609 0.1219 0.7085  8 Ho 3.39-3.55, 3 Pm 3.59-3.64

2.
Computed, not measured: crystalline Pm4Ho5 at its relaxed geometry at the GGA-PBE level of DFT.

Space-group type: I4/mmm (139)
Crystal system: tetragonal
Total magnetization, μB/cell: 0.0
Energy, eV per cell: -41.730
E_form, eV/atom: 0.0180

Lattice parameters (Å, degrees): 5.0490 8.0083 8.0083 84.30 71.62 71.62
With the nearest neighbours (Å) after each atom.
Positions (direct):
Pm 0.6666 0.0000 0.6667  8 Ho 3.58, 4 Pm 3.58
Pm 0.3334 0.3333 0.0000  8 Ho 3.58, 4 Pm 3.58
Pm 0.3334 0.0000 0.3333  8 Ho 3.58, 4 Pm 3.58
Pm 0.6666 0.6667 0.0000  8 Ho 3.58, 4 Pm 3.58
Ho 0.6654 0.3346 0.3346  6 Ho 3.56-3.60, 6 Pm 3.58
Ho 0.3346 0.6654 0.6654  6 Ho 3.56-3.60, 6 Pm 3.58
Ho 0.0000 0.0000 0.0000  8 Pm 3.58, 4 Ho 3.60
Ho 0.0000 0.6654 0.3346  6 Ho 3.56-3.60, 6 Pm 3.58
Ho 0.0000 0.3346 0.6654  6 Ho 3.56-3.60, 6 Pm 3.58

3.
Computed, not measured: crystalline PmHo at its relaxed geometry at the GGA-PBE level of DFT.

Space-group type: Fm-3m (225)
Crystal system: cubic
Total magnetization, μB/cell: 0.9
Energy relative to the lowest polymorph listed for this composition, eV/atom: 0.696
Energy, eV per cell: -7.904
E_form, eV/atom: 0.7123

Lattice parameters (Å, degrees): 4.5988 4.5988 4.5988 60.00 60.00 60.00
With the nearest neighbours (Å) after each atom.
Positions (direct):
Ho 0.0000 0.0000 0.0000  6 Pm 3.25
Pm 0.5000 0.5000 0.5000  6 Ho 3.25

4.
Computed, not measured: crystalline PmHo at its relaxed geometry at the GGA-PBE level of DFT.

Space-group type: Pmmn (59)
Crystal system: orthorhombic
Total magnetization, μB/cell: 0.0
Energy relative to the lowest polymorph listed for this composition, eV/atom: 0.000
Energy, eV per cell: -18.590
E_form, eV/atom: 0.0166

Lattice parameters (Å, degrees): 3.5870 5.0655 7.1774 90.00 90.00 90.00
With the nearest neighbours (Å) after each atom.
Positions (direct):
Pm 0.0000 0.0000 0.6273  6 Ho 3.55-3.63, 6 Pm 3.59-3.60
Pm 0.5000 0.5000 0.3727  6 Ho 3.55-3.63, 6 Pm 3.59-3.60
Ho 0.0000 0.0000 0.1219  6 Pm 3.55-3.63, 6 Ho 3.56-3.59
Ho 0.5000 0.5000 0.8781  6 Pm 3.55-3.63, 6 Ho 3.56-3.59

5.
Computed, not measured: crystalline Pm6Ho at its relaxed geometry at the GGA-PBE level of DFT.

Space-group type: P4/nbm (125)
Crystal system: tetragonal
Total magnetization, μB/cell: 0.0
Energy relative to the lowest polymorph listed for this composition, eV/atom: 0.000
Energy, eV per cell: -62.738
E_form, eV/atom: 0.2446

Lattice parameters (Å, degrees): 6.5815 6.5815 11.2763 90.00 90.00 90.00
With the nearest neighbours (Å) after each atom.
Positions (direct):
Pm 0.5000 0.5000 0.1370  1 Pm 3.09
Pm 0.0000 0.0000 0.1370  1 Pm 3.09
Pm 0.0000 0.0000 0.8630  1 Pm 3.09
Pm 0.5000 0.5000 0.8630  1 Pm 3.09
Pm 0.8320 0.6680 0.3606  6 Pm 3.13-3.49
Pm 0.3320 0.8320 0.3606  6 Pm 3.13-3.49
Pm 0.6680 0.1680 0.3606  6 Pm 3.13-3.49
Pm 0.1680 0.3320 0.3606  6 Pm 3.13-3.49
Pm 0.6680 0.8320 0.6394  6 Pm 3.13-3.49
Pm 0.1680 0.6680 0.6394  6 Pm 3.13-3.49
Pm 0.8320 0.3320 0.6394  6 Pm 3.13-3.49
Pm 0.3320 0.1680 0.6394  6 Pm 3.13-3.49
Ho 0.5000 0.0000 0.0000  8 Pm 3.64
Ho 0.0000 0.5000 0.0000  8 Pm 3.64

6.
Computed, not measured: crystalline Pm6PrHo2 at its relaxed geometry at the GGA-PBE level of DFT.

Space-group type: C2/m (12)
Crystal system: monoclinic
Total magnetization, μB/cell: 1.0
Energy relative to the lowest polymorph listed for this composition, eV/atom: 0.167
Energy, eV per cell: -40.786
E_form, eV/atom: 0.1837

Lattice parameters (Å, degrees): 6.1575 7.6095 7.6095 60.01 90.00 90.00
With the nearest neighbours (Å) after each atom.
Positions (direct):
Pm 0.2892 0.3774 0.8119  1 Pr 3.06, 2 Pm 3.31
Pm 0.2863 0.8122 0.8122  1 Pr 3.04, 2 Pm 3.31
Pm 0.2892 0.8119 0.3774  1 Pr 3.06, 2 Pm 3.31
Pm 0.7108 0.6226 0.1881  1 Pr 3.06, 2 Pm 3.31
Pm 0.7137 0.1878 0.1878  1 Pr 3.04, 2 Pm 3.31
Pm 0.7108 0.1881 0.6226  1 Pr 3.06, 2 Pm 3.31
Pr 0.0000 0.0000 0.0000  6 Pm 3.04-3.06
Ho 0.7808 0.6665 0.6665  12 Pm 3.58-3.84
Ho 0.2192 0.3335 0.3335  12 Pm 3.58-3.84

7.
Computed, not measured: crystalline Pm3PrHo7 at its relaxed geometry at the GGA-PBE level of DFT.

Space-group type: P3m1 (156)
Crystal system: trigonal
Total magnetization, μB/cell: 0.0
Energy relative to the lowest polymorph listed for this composition, eV/atom: 0.038
Energy, eV per cell: -49.059
E_form, eV/atom: 0.1834

Lattice parameters (Å, degrees): 8.6933 7.0718 7.0718 120.00 90.00 90.00
With the nearest neighbours (Å) after each atom.
Positions (direct):
Pm 0.7847 0.5005 0.4995  4 Pm 3.53-3.55, 5 Ho 3.55-3.58, 1 Pr 3.59
Pm 0.7847 0.5005 0.0010  4 Pm 3.53-3.55, 5 Ho 3.55-3.58, 1 Pr 3.59
Pm 0.7847 0.9990 0.4995  4 Pm 3.53-3.55, 5 Ho 3.55-3.58, 1 Pr 3.59
Pr 0.4456 0.3333 0.6667  9 Ho 3.49-3.54, 3 Pm 3.59
Ho 0.1191 0.1671 0.8329  1 Pr 3.49, 8 Ho 3.50-3.54, 2 Pm 3.55
Ho 0.1191 0.1671 0.3341  1 Pr 3.49, 8 Ho 3.50-3.54, 2 Pm 3.55
Ho 0.1218 0.6667 0.3333  9 Ho 3.47-3.54, 3 Pm 3.57
Ho 0.4454 0.8324 0.1676  7 Ho 3.47-3.56, 2 Pr 3.54, 2 Pm 3.58
Ho 0.4454 0.3352 0.1676  7 Ho 3.47-3.56, 2 Pr 3.54, 2 Pm 3.58
Ho 0.4454 0.8324 0.6648  7 Ho 3.47-3.56, 2 Pr 3.54, 2 Pm 3.58
Ho 0.1191 0.6659 0.8329  1 Pr 3.49, 8 Ho 3.50-3.54, 2 Pm 3.55

8.
Computed, not measured: crystalline Pm3Pr7Ho at its relaxed geometry at the GGA-PBE level of DFT.

Space-group type: C2/m (12)
Crystal system: monoclinic
Total magnetization, μB/cell: 0.0
Energy relative to the lowest polymorph listed for this composition, eV/atom: 0.007
Energy, eV per cell: -49.780
E_form, eV/atom: 0.2278

Lattice parameters (Å, degrees): 6.5721 7.8759 7.8759 82.34 86.26 86.26
With the nearest neighbours (Å) after each atom.
Positions (direct):
Pm 0.0000 0.8300 0.1700  7 Pr 3.42-3.63, 3 Pm 3.53-3.73
Pm 0.5000 0.0000 0.0000  6 Pr 3.53-3.74, 4 Pm 3.73
Pm 0.0000 0.1700 0.8300  7 Pr 3.42-3.63, 3 Pm 3.53-3.73
Pr 0.7849 0.2394 0.2394  5 Pr 3.40-3.63, 1 Ho 3.47, 3 Pm 3.53
Pr 0.7383 0.9187 0.5724  6 Pr 3.40-3.80, 3 Pm 3.60-3.74
Pr 0.2617 0.4276 0.0813  6 Pr 3.40-3.80, 3 Pm 3.60-3.74
Pr 0.7383 0.5724 0.9187  6 Pr 3.40-3.80, 3 Pm 3.60-3.74
Pr 0.0000 0.5000 0.5000  2 Ho 3.29, 2 Pm 3.42, 2 Pr 3.51
Pr 0.2617 0.0813 0.4276  6 Pr 3.40-3.80, 3 Pm 3.60-3.74
Pr 0.2151 0.7606 0.7606  5 Pr 3.40-3.63, 1 Ho 3.47, 3 Pm 3.53
Ho 0.5000 0.5000 0.5000  4 Pr 3.29-3.47

9.
Computed, not measured: crystalline Pm4PrHo4 at its relaxed geometry at the GGA-PBE level of DFT.

Space-group type: I4/mmm (139)
Crystal system: tetragonal
Total magnetization, μB/cell: 0.0
Energy, eV per cell: -41.938
E_form, eV/atom: 0.0172

Lattice parameters (Å, degrees): 5.0721 8.0581 8.0581 84.32 71.66 71.66
With the nearest neighbours (Å) after each atom.
Positions (direct):
Pm 0.6682 0.3319 0.3318  6 Ho 3.59-3.60, 1 Pr 3.59, 5 Pm 3.61-3.64
Pm 0.3318 0.6681 0.6682  6 Ho 3.59-3.60, 1 Pr 3.59, 5 Pm 3.61-3.64
Pm 0.9999 0.6682 0.3319  6 Ho 3.59-3.60, 1 Pr 3.59, 5 Pm 3.61-3.64
Pm 0.0001 0.3318 0.6681  6 Ho 3.59-3.60, 1 Pr 3.59, 5 Pm 3.61-3.64
Pr 0.0000 0.0000 0.0000  4 Pm 3.59, 8 Ho 3.60
Ho 0.6671 0.6658 0.0000  4 Ho 3.59-3.62, 6 Pm 3.59-3.60, 2 Pr 3.60
Ho 0.3329 0.3342 0.0000  4 Ho 3.59-3.62, 6 Pm 3.59-3.60, 2 Pr 3.60
Ho 0.6671 0.0000 0.6658  4 Ho 3.59-3.62, 6 Pm 3.59-3.60, 2 Pr 3.60
Ho 0.3329 0.0000 0.3342  4 Ho 3.59-3.62, 6 Pm 3.59-3.60, 2 Pr 3.60

10.
Computed, not measured: crystalline Pm5PrHo6 at its relaxed geometry at the GGA-PBE level of DFT.

Space-group type: Immm (71)
Crystal system: orthorhombic
Total magnetization, μB/cell: 0.0
Energy, eV per cell: -55.799
E_form, eV/atom: 0.0167

Lattice parameters (Å, degrees): 5.1010 10.0857 9.5012 122.06 105.56 90.00
With the nearest neighbours (Å) after each atom.
Positions (direct):
Pr 0.0000 0.0000 0.0000  8 Ho 3.59, 4 Pm 3.61
Ho 0.8331 0.5827 0.6663  7 Pm 3.57-3.59, 1 Pr 3.59, 4 Ho 3.60-3.61
Ho 0.8331 0.0836 0.6663  7 Pm 3.57-3.59, 1 Pr 3.59, 4 Ho 3.60-3.61
Ho 0.5000 0.7492 0.0000  6 Pm 3.58-3.60, 2 Pr 3.59, 4 Ho 3.61
Ho 0.5000 0.2508 0.0000  6 Pm 3.58-3.60, 2 Pr 3.59, 4 Ho 3.61
Ho 0.1669 0.9164 0.3337  7 Pm 3.57-3.59, 1 Pr 3.59, 4 Ho 3.60-3.61
Ho 0.1669 0.4173 0.3337  7 Pm 3.57-3.59, 1 Pr 3.59, 4 Ho 3.60-3.61
Pm 0.6673 0.1672 0.3345  8 Ho 3.57-3.60, 2 Pm 3.60, 2 Pr 3.61
Pm 0.3334 0.3333 0.6667  8 Ho 3.58-3.59, 4 Pm 3.60
Pm 0.0000 0.5000 0.0000  8 Ho 3.58, 4 Pm 3.60
Pm 0.6666 0.6667 0.3333  8 Ho 3.58-3.59, 4 Pm 3.60
Pm 0.3327 0.8328 0.6655  8 Ho 3.57-3.60, 2 Pm 3.60, 2 Pr 3.61

11.
Computed, not measured: crystalline Pm4Pr3Ho5 at its relaxed geometry at the GGA-PBE level of DFT.

Space-group type: P-1 (2)
Crystal system: triclinic
Total magnetization, μB/cell: 0.0
Energy relative to the lowest polymorph listed for this composition, eV/atom: 0.000
Energy, eV per cell: -56.033
E_form, eV/atom: 0.0164

Lattice parameters (Å, degrees): 7.2223 11.4244 13.0247 151.30 56.40 129.20
With the nearest neighbours (Å) after each atom.
Positions (direct):
Pm 0.9175 0.8368 0.6691  5 Ho 3.59-3.64, 3 Pm 3.60-3.64, 4 Pr 3.61-3.64
Pm 0.8304 0.6619 0.8319  5 Ho 3.58-3.62, 4 Pm 3.60-3.67, 3 Pr 3.61-3.64
Pm 0.1696 0.3381 0.1681  5 Ho 3.58-3.62, 4 Pm 3.60-3.67, 3 Pr 3.61-3.64
Pm 0.0825 0.1632 0.3309  5 Ho 3.59-3.64, 3 Pm 3.60-3.64, 4 Pr 3.61-3.64
Pr 0.5821 0.1644 0.3318  5 Ho 3.59-3.64, 6 Pm 3.61-3.64, 1 Pr 3.61
Pr 0.0000 0.0000 0.5000  8 Ho 3.60-3.62, 2 Pm 3.61, 2 Pr 3.61
Pr 0.4179 0.8356 0.6682  5 Ho 3.59-3.64, 6 Pm 3.61-3.64, 1 Pr 3.61
Ho 0.3304 0.6657 0.8351  4 Pr 3.59-3.64, 5 Pm 3.59-3.64, 3 Ho 3.59-3.64
Ho 0.5000 0.0000 0.5000  4 Pm 3.58-3.61, 4 Pr 3.61, 4 Ho 3.61
Ho 0.7506 0.5011 0.0008  3 Pm 3.59-3.60, 6 Ho 3.59-3.62, 3 Pr 3.60-3.62
Ho 0.2494 0.4989 0.9992  3 Pm 3.59-3.60, 6 Ho 3.59-3.62, 3 Pr 3.60-3.62
Ho 0.6696 0.3343 0.1649  4 Pr 3.59-3.64, 5 Pm 3.59-3.64, 3 Ho 3.59-3.64

12.
Computed, not measured: crystalline Pm4PrHo10 at its relaxed geometry at the GGA-PBE level of DFT.

Space-group type: I4/m (87)
Crystal system: tetragonal
Total magnetization, μB/cell: 0.0
Energy, eV per cell: -62.805
E_form, eV/atom: 0.4503

Lattice parameters (Å, degrees): 10.8382 8.8107 8.8107 67.77 52.04 52.04
With the nearest neighbours (Å) after each atom.
Positions (direct):
Pm 0.5518 0.6617 0.2347  8 Ho 3.46-3.86
Pm 0.7865 0.7653 0.6617  8 Ho 3.46-3.86
Pm 0.2135 0.2347 0.3383  8 Ho 3.46-3.86
Pm 0.4482 0.3383 0.7653  8 Ho 3.46-3.86
Pr 0.0000 0.0000 0.0000  8 Ho 3.07
Ho 0.2500 0.5000 0.5000  4 Ho 3.15, 4 Pm 3.46
Ho 0.7077 0.3407 0.9056  1 Pr 3.07, 2 Ho 3.11-3.15
Ho 0.9516 0.0944 0.3407  1 Pr 3.07, 2 Ho 3.11-3.15
Ho 0.3868 0.9056 0.6593  1 Pr 3.07, 2 Ho 3.11-3.15
Ho 0.9539 0.6593 0.0944  1 Pr 3.07, 2 Ho 3.11-3.15
Ho 0.2923 0.6593 0.0944  1 Pr 3.07, 2 Ho 3.11-3.15
Ho 0.7500 0.5000 0.5000  4 Ho 3.15, 4 Pm 3.46
Ho 0.0461 0.3407 0.9056  1 Pr 3.07, 2 Ho 3.11-3.15
Ho 0.6132 0.0944 0.3407  1 Pr 3.07, 2 Ho 3.11-3.15
Ho 0.0484 0.9056 0.6593  1 Pr 3.07, 2 Ho 3.11-3.15